No. 1
This record from Alexandria describes a relaxed structure of GdHoAlAu. The functional is PBE-GGA.

Symmetry: F-43m, No. 216
Energy of formation, eV per atom: -0.559
Crystal system: cubic
Total magnetization, μB/f.u.: 7.33

Lattice parameters (Å, degrees): 5.144 5.144 5.144 60.00 60.00 60.00
Atoms (fractional coordinates):
Al1 0.000 0.000 0.000
Ho1 0.750 0.750 0.750
Gd1 0.250 0.250 0.250
Au1 0.500 0.500 0.500

No. 2
This record from Alexandria describes a relaxed structure of Ca12Zn6Pt. The functional is PBE-GGA.

Symmetry: Im-3, No. 204
Energy of formation, eV per atom: -0.201
Crystal system: cubic
Total magnetization, μB/f.u.: 0.00

Lattice parameters (Å, degrees): 8.956 8.956 8.956 109.47 109.47 109.47
Atoms (fractional coordinates):
Ca1 0.182 0.285 0.467
Ca2 0.715 0.897 0.182
Ca3 0.533 0.818 0.715
Ca4 0.818 0.715 0.533
Ca5 0.285 0.103 0.818
Ca6 0.818 0.285 0.103
Ca7 0.897 0.182 0.715
Ca8 0.285 0.467 0.182
Ca9 0.715 0.533 0.818
Ca10 0.467 0.182 0.285
Ca11 0.182 0.715 0.897
Ca12 0.103 0.818 0.285
Zn1 0.625 0.500 0.125
Zn2 0.875 0.375 0.500
Zn3 0.500 0.125 0.625
Zn4 0.125 0.625 0.500
Zn5 0.375 0.500 0.875
Zn6 0.500 0.875 0.375
Pt1 0.000 0.000 0.000

No. 3
This record from Alexandria describes a relaxed structure of Ho12Er7Tl. The functional is PBE-GGA.

Symmetry: R-3, No. 148
Energy of formation, eV per atom: 0.184
Crystal system: trigonal
Total magnetization, μB/f.u.: 0.01

Lattice parameters (Å, degrees): 8.575 8.575 8.575 87.47 87.47 87.47
Atoms (fractional coordinates):
Er1 0.852 0.608 0.931
Er2 0.392 0.069 0.148
Er3 0.069 0.148 0.392
Er4 0.148 0.392 0.069
Er5 0.608 0.931 0.852
Er6 0.500 0.500 0.500
Er7 0.931 0.852 0.608
Ho1 0.500 0.616 0.140
Ho2 0.140 0.500 0.616
Ho3 0.137 0.748 0.258
Ho4 0.748 0.258 0.137
Ho5 0.384 0.860 0.500
Ho6 0.860 0.500 0.384
Ho7 0.500 0.384 0.860
Ho8 0.252 0.742 0.863
Ho9 0.742 0.863 0.252
Ho10 0.863 0.252 0.742
Ho11 0.616 0.140 0.500
Ho12 0.258 0.137 0.748
Tl1 0.000 0.000 0.000

No. 4
This record from Alexandria describes a relaxed structure of CrI7N6. The functional is PBE-GGA.

Symmetry: C2/m, No. 12
ΔE_f (raw), eV per atom: 0.308
Crystal system: monoclinic
Total magnetization, μB/f.u.: 1.19

Lattice parameters (Å, degrees): 10.257 10.257 6.883 84.76 84.76 97.56
Atoms (fractional coordinates):
I1 0.261 0.261 0.752
I2 0.084 0.084 0.332
I3 0.739 0.739 0.248
I4 0.916 0.916 0.668
I5 0.631 0.631 0.809
I6 0.500 0.500 0.500
I7 0.369 0.369 0.191
N1 0.286 0.773 0.049
N2 0.714 0.227 0.951
N3 0.773 0.286 0.049
N4 0.227 0.714 0.951
N5 0.124 0.124 0.887
N6 0.876 0.876 0.113
Cr1 0.000 0.000 0.000

No. 5
This record from Alexandria describes a relaxed structure of POsAu. The functional is PBE-GGA.

Symmetry: I4mm, No. 107
Energy of formation, eV per atom: 0.213
Crystal system: tetragonal
Total magnetization, μB/f.u.: 0.00
Offset from the most stable computed form, eV/f.u.: 0.18

Lattice parameters (Å, degrees): 5.606 5.606 5.606 148.96 148.96 44.46
Atoms (fractional coordinates):
P1 0.696 0.696 0.000
Au1 0.005 0.005 0.000
Os1 0.300 0.300 0.000

No. 6
This record from Alexandria describes a relaxed structure of Co8H4Pt. The functional is PBE-GGA.

Symmetry: C2/m, No. 12
E_tot, eV/atom: -5.881
Crystal system: monoclinic
Total magnetization, μB/f.u.: 12.29

Lattice parameters (Å, degrees): 2.622 6.444 6.873 81.15 79.01 78.26
Atoms (fractional coordinates):
H1 0.181 0.503 0.135
H2 0.664 0.169 0.502
H3 0.850 0.501 0.798
H4 0.367 0.834 0.431
Co1 0.553 0.662 0.232
Co2 0.889 0.664 0.558
Co3 0.143 0.340 0.375
Co4 0.479 0.341 0.701
Co5 0.848 0.001 0.302
Co6 0.183 0.002 0.631
Co7 0.808 0.338 0.045
Co8 0.223 0.665 0.889
Pt1 0.516 0.002 0.967

No. 7
This record from Alexandria describes a relaxed structure of Sn2HgTe. The functional is PBE-GGA.

Symmetry: R-3m, No. 166
ΔE_f (raw), eV per atom: 0.147
Crystal system: trigonal
Total magnetization, μB/f.u.: 0.00
Offset from the most stable computed form, eV/f.u.: 0.65

Lattice parameters (Å, degrees): 5.506 5.506 7.307 67.86 67.86 60.00
Atoms (fractional coordinates):
Hg1 0.000 0.000 0.000
Te1 0.500 0.500 0.500
Sn1 0.856 0.856 0.433
Sn2 0.144 0.144 0.567

No. 8
This record from Alexandria describes a relaxed structure of ReW. The functional is PBE-GGA.

Symmetry: P4/nmm, No. 129
Energy of formation, eV per atom: 0.182
Crystal system: tetragonal
Total magnetization, μB/f.u.: 0.00
Offset from the most stable computed form, eV/f.u.: 0.18

Lattice parameters (Å, degrees): 2.776 2.776 8.231 90.00 90.00 90.00
Atoms (fractional coordinates):
W1 0.250 0.250 0.635
W2 0.750 0.750 0.365
Re1 0.250 0.250 0.112
Re2 0.750 0.750 0.888

No. 9
This record from Alexandria describes a relaxed structure of K2BeMo. The functional is PBE-GGA.

Symmetry: Cmmm, No. 65
Energy of formation, eV per atom: 1.616
Crystal system: orthorhombic
Total magnetization, μB/f.u.: 3.60

Lattice parameters (Å, degrees): 6.080 6.080 3.725 90.00 90.00 123.58
Atoms (fractional coordinates):
Be1 0.000 0.500 0.500
K1 0.000 0.000 0.000
K2 0.500 0.500 0.000
Mo1 0.500 0.000 0.500

No. 10
This record from Alexandria describes a relaxed structure of SrFeMo2. The functional is PBE-GGA.

Symmetry: P4mm, No. 99
Energy of formation, eV per atom: 0.610
Crystal system: tetragonal
Total magnetization, μB/f.u.: 2.71
Offset from the most stable computed form, eV/f.u.: 0.00

Lattice parameters (Å, degrees): 3.259 3.259 7.562 90.00 90.00 90.00
Atoms (fractional coordinates):
Mo1 0.500 0.500 0.171
Mo2 0.000 0.000 0.996
Fe1 0.500 0.500 0.825
Sr1 0.000 0.000 0.509

No. 11
This record from Alexandria describes a relaxed structure of MnCo2HgN. The functional is PBE-GGA.

Symmetry: P4/mmm, No. 123
ΔE_f (raw), eV per atom: 0.029
Crystal system: tetragonal
Total magnetization, μB/f.u.: 5.18

Lattice parameters (Å, degrees): 3.898 3.898 3.962 90.00 90.00 90.00
Atoms (fractional coordinates):
Co1 0.000 0.500 0.000
Co2 0.500 0.000 0.000
Mn1 0.000 0.000 0.500
Hg1 0.500 0.500 0.500
N1 0.000 0.000 0.000

No. 12
This record from Alexandria describes a relaxed structure of Pu2CdSn. The functional is PBE-GGA.

Symmetry: Cmmm, No. 65
Energy of formation, eV per atom: -0.201
Crystal system: orthorhombic
Total magnetization, μB/f.u.: 11.38

Lattice parameters (Å, degrees): 3.409 5.720 5.720 115.43 90.00 90.00
Atoms (fractional coordinates):
Cd1 0.500 0.500 0.000
Pu1 0.000 0.000 0.000
Pu2 0.000 0.500 0.500
Sn1 0.500 0.000 0.500